# 1
# PuTlAu2 | Alexandria | PBE | optimized geometry
data_PuTlAu2
_chemical_formula_sum 'Pu1 Tl1 Au2'
_space_group_name_H-M_alt 'P 4/m m m'
_space_group_IT_number 123
_space_group_name_Hall '-P 4 2'
_cell_length_a 3.732
_cell_length_b 3.732
_cell_length_c 6.911
_cell_angle_alpha 90.00
_cell_angle_beta 90.00
_cell_angle_gamma 90.00
loop_
_atom_site_label
_atom_site_fract_x
_atom_site_fract_y
_atom_site_fract_z
Pu1 0.000 0.000 0.000
Tl1 0.000 0.000 0.500
Au1 0.500 0.500 0.239
# ΔE_f in eV/f.u.: -1.002
# DOS(E_F) in states/eV/f.u.: 14.56
# Calculated total energy in eV/f.u.: -24.3
# Total magnetization in μB per formula unit: 5.7



# 2
# Sr2MgSc | Alexandria | PBE | optimized geometry
data_Sr2MgSc
_chemical_formula_sum 'Sr2 Mg1 Sc1'
_space_group_name_H-M_alt 'P 4 m m'
_space_group_IT_number 99
_cell_length_a 3.905
_cell_length_b 3.905
_cell_length_c 9.707
_cell_angle_alpha 90.00
_cell_angle_beta 90.00
_cell_angle_gamma 90.00
loop_
_space_group_symop_operation_xyz
'x,y,z'
'-y,x,z'
'-x,-y,z'
'y,-x,z'
'-x,y,z'
'y,x,z'
'x,-y,z'
'-y,-x,z'
loop_
_atom_site_label
_atom_site_fract_x
_atom_site_fract_y
_atom_site_fract_z
Sr1 0.000 0.000 0.000
Sr2 0.500 0.500 0.349
Mg1 0.000 0.000 0.591
Sc1 0.500 0.500 0.738
# ΔE_f in eV/f.u.: 0.428
# DOS(E_F) in states/eV/f.u.: 5.54
# Calculated total energy in eV/f.u.: -10.9
# Total magnetization in μB per formula unit: 0.1



# 3
# Zn2SbPt | Alexandria | PBE | optimized geometry
data_Zn2SbPt
_chemical_formula_sum 'Zn2 Sb1 Pt1'
_space_group_name_H-M_alt 'P 4 m m'
_space_group_IT_number 99
_cell_length_a 3.403
_cell_length_b 3.403
_cell_length_c 6.305
_cell_angle_alpha 90.00
_cell_angle_beta 90.00
_cell_angle_gamma 90.00
loop_
_space_group_symop_operation_xyz
'x,y,z'
'-y,x,z'
'-x,-y,z'
'y,-x,z'
'-x,y,z'
'y,x,z'
'x,-y,z'
'-y,-x,z'
loop_
_atom_site_label
_atom_site_fract_x
_atom_site_fract_y
_atom_site_fract_z
Zn1 0.000 0.000 0.000
Zn2 0.500 0.500 0.233
Sb1 0.500 0.500 0.706
Pt1 0.000 0.000 0.412
# DOS(E_F) in states/eV/f.u.: 1.03
# Raw formation energy in eV/atom: -0.088
# Calculated total energy in eV/f.u.: -13.1
# Total magnetization in μB per formula unit: 0.0



# 4
# CsCdBi3 | Alexandria | PBE | optimized geometry
data_CsCdBi3
_chemical_formula_sum 'Cs2 Cd2 Bi6'
_space_group_name_H-M_alt 'C 1 m 1'
_space_group_IT_number 8
_cell_length_a 8.094
_cell_length_b 8.095
_cell_length_c 7.140
_cell_angle_alpha 90.00
_cell_angle_beta 124.50
_cell_angle_gamma 90.00
loop_
_space_group_symop_operation_xyz
'x,y,z'
'x,-y,z'
'x+1/2,y+1/2,z'
'x+1/2,-y+1/2,z'
loop_
_atom_site_label
_atom_site_fract_x
_atom_site_fract_y
_atom_site_fract_z
Cs1 0.000 0.000 0.000
Cd1 0.359 0.000 0.719
Bi1 0.000 0.250 0.501
Bi2 0.129 0.500 0.257
# ΔE_f in eV/f.u.: -0.802
# DOS(E_F) in states/eV/f.u.: 1.58
# Calculated total energy in eV/f.u.: -14.2
# Relative energy among the computed polymorphs in eV per atom: 0.0000
# Total magnetization in μB per formula unit: 0.0